# TiV2I

An optimized crystal structure of TiV2I (PBE, Alexandria via LeMat-Bulk).

a = 3.893 Å, b = 3.893 Å, c = 9.804 Å
α = 78.55°, β = 78.55°, γ = 90.00°
Element x y z (fractional)
I 0.000 0.000 0.000
I 0.750 0.250 0.500
V 0.631 0.125 0.250
V 0.119 0.625 0.250
V 0.375 0.369 0.750
V 0.875 0.881 0.750
Ti 0.500 0.500 0.000
Ti 0.250 0.750 0.500

Values from the calculation:
- Space group: I-42d
- Crystal system: tetragonal
- Formation energy (no corrections): 0.732 eV per atom

# ZnPt2Cl

An optimized crystal structure of ZnPt2Cl (PBE, Alexandria via LeMat-Bulk).

a = 3.047 Å, b = 3.047 Å, c = 7.053 Å
α = 90.00°, β = 90.00°, γ = 90.00°
Element x y z (fractional)
Cl 0.500 0.500 0.750
Pt 0.000 0.000 0.040
Pt 0.000 0.000 0.460
Zn 0.500 0.500 0.250

Values from the calculation:
- Space group: P4/mmm
- Crystal system: tetragonal
- Formation energy (no corrections): 0.042 eV per atom

# PaTaS2

An optimized crystal structure of PaTaS2 (PBE, Alexandria via LeMat-Bulk).

a = 3.234 Å, b = 3.234 Å, c = 9.098 Å
α = 79.76°, β = 79.76°, γ = 60.00°
Element x y z (fractional)
S 0.105 0.105 0.685
S 0.895 0.895 0.315
Pa 0.000 0.000 0.000
Ta 0.500 0.500 0.500

Values from the calculation:
- Space group: R-3m
- Crystal system: trigonal
- Formation energy (no corrections): -0.694 eV per atom

# Mg6PdAu8

An optimized crystal structure of Mg6PdAu8 (PBE, Alexandria via LeMat-Bulk).

a = 7.770 Å, b = 7.770 Å, c = 7.171 Å
α = 57.19°, β = 57.19°, γ = 60.00°
Element x y z (fractional)
Mg 0.380 0.095 0.837
Mg 0.905 0.312 0.163
Mg 0.312 0.620 0.163
Mg 0.688 0.380 0.837
Mg 0.095 0.688 0.837
Mg 0.620 0.905 0.163
Pd 0.000 0.000 0.000
Au 0.563 0.194 0.348
Au 0.806 0.104 0.652
Au 0.104 0.437 0.652
Au 0.710 0.710 0.871
Au 0.290 0.290 0.129
Au 0.896 0.563 0.348
Au 0.194 0.896 0.348
Au 0.437 0.806 0.652

Values from the calculation:
- Energy of formation from the pure elements: -0.416 eV per atom
- Space group: R-3
- Crystal system: trigonal

# Ag6HgTe4

An optimized crystal structure of Ag6HgTe4 (PBE, Alexandria via LeMat-Bulk).

a = 7.123 Å, b = 7.123 Å, c = 7.468 Å
α = 61.53°, β = 61.53°, γ = 90.29°
Element x y z (fractional)
Ag 0.462 0.753 0.781
Ag 0.753 0.462 0.781
Ag 0.544 0.544 0.218
Ag 0.002 0.502 0.999
Ag 0.252 0.252 0.215
Ag 0.502 0.002 0.999
Hg 0.988 0.988 0.005
Te 0.611 0.102 0.294
Te 0.901 0.901 0.698
Te 0.102 0.611 0.294
Te 0.384 0.384 0.712

Values from the calculation:
- Space group: Cm
- Crystal system: monoclinic
- Formation energy (no corrections): -0.025 eV per atom

# Dy2ErGe

An optimized crystal structure of Dy2ErGe (PBE, Alexandria via LeMat-Bulk).

a = 3.630 Å, b = 3.630 Å, c = 10.220 Å
α = 79.77°, β = 79.77°, γ = 60.00°
Element x y z (fractional)
Ge 0.000 0.000 0.000
Dy 0.265 0.265 0.205
Dy 0.735 0.735 0.795
Er 0.500 0.500 0.500

Values from the calculation:
- Energy of formation from the pure elements: -0.209 eV per atom
- Space group: R-3m
- Crystal system: trigonal

One value per record, in order, for magnetization: 0.00 0.00 0.00 0.00 0.00 0.01 μB/f.u..